# Ba3PuAu2O9 | Alexandria | GGA-PBE | relaxed
# Formation energy without anion corrections in meV per atom: -1833
# VASP energy in eV per atom: -6.58
# Space group: P-3m1 (164)
# Calculated volume in Å³/atom: 15.979
data_Ba3PuAu2O9
_cell_length_a 6.064
_cell_length_b 6.064
_cell_length_c 7.527
_cell_angle_alpha 90.00
_cell_angle_beta 90.00
_cell_angle_gamma 120.00
_space_group_name_H-M_alt 'P 1'
_space_group_IT_number 1
_space_group_name_Hall 'P 1'
loop_
_atom_site_label
_atom_site_type_symbol
_atom_site_fract_x
_atom_site_fract_y
_atom_site_fract_z
Ba1 Ba 0.000 0.000 0.000
Ba2 Ba 0.333 0.667 0.704
Ba3 Ba 0.667 0.333 0.296
Pu1 Pu 0.000 0.000 0.500
Au1 Au 0.333 0.667 0.169
Au2 Au 0.667 0.333 0.831
O1 O 0.000 0.500 0.000
O2 O 0.157 0.315 0.343
O3 O 0.157 0.843 0.343
O4 O 0.315 0.157 0.657
O5 O 0.500 0.000 0.000
O6 O 0.500 0.500 0.000
O7 O 0.685 0.843 0.343
O8 O 0.843 0.157 0.657
O9 O 0.843 0.685 0.657



# BaPuAuO5 | Alexandria | GGA-PBE | relaxed
# Formation energy without anion corrections in meV per atom: -2056
# VASP energy in eV per atom: -7.60
# Space group: C2/c (15)
# Calculated volume in Å³/atom: 19.020
data_BaPuAuO5
_cell_length_a 6.581
_cell_length_b 6.581
_cell_length_c 8.305
_cell_angle_alpha 105.00
_cell_angle_beta 105.00
_cell_angle_gamma 109.04
_space_group_name_H-M_alt 'P 1'
_space_group_IT_number 1
_space_group_name_Hall 'P 1'
loop_
_atom_site_label
_atom_site_type_symbol
_atom_site_fract_x
_atom_site_fract_y
_atom_site_fract_z
Ba1 Ba 0.065 0.935 0.750
Ba2 Ba 0.935 0.065 0.250
Pu1 Pu 0.000 0.500 0.000
Pu2 Pu 0.500 0.000 0.500
Au1 Au 0.469 0.531 0.250
Au2 Au 0.531 0.469 0.750
O1 O 0.175 0.280 0.053
O2 O 0.191 0.631 0.892
O3 O 0.199 0.801 0.250
O4 O 0.280 0.175 0.553
O5 O 0.369 0.809 0.608
O6 O 0.631 0.191 0.392
O7 O 0.720 0.825 0.447
O8 O 0.801 0.199 0.750
O9 O 0.809 0.369 0.108
O10 O 0.825 0.720 0.947



# BaPuAu2O6 | Alexandria | GGA-PBE | relaxed
# Formation energy without anion corrections in meV per atom: -1428
# VASP energy in eV per atom: -6.68
# Space group: C2/c (15)
# Calculated volume in Å³/atom: 17.452
data_BaPuAu2O6
_cell_length_a 7.511
_cell_length_b 7.511
_cell_length_c 7.146
_cell_angle_alpha 111.46
_cell_angle_beta 111.46
_cell_angle_gamma 80.83
_space_group_name_H-M_alt 'P 1'
_space_group_IT_number 1
_space_group_name_Hall 'P 1'
loop_
_atom_site_label
_atom_site_type_symbol
_atom_site_fract_x
_atom_site_fract_y
_atom_site_fract_z
Ba1 Ba 0.143 0.857 0.750
Ba2 Ba 0.857 0.143 0.250
Pu1 Pu 0.253 0.747 0.250
Pu2 Pu 0.747 0.253 0.750
Au1 Au 0.333 0.349 0.293
Au2 Au 0.349 0.333 0.793
Au3 Au 0.651 0.667 0.207
Au4 Au 0.667 0.651 0.707
O1 O 0.015 0.796 0.317
O2 O 0.134 0.622 0.964
O3 O 0.204 0.985 0.183
O4 O 0.246 0.432 0.547
O5 O 0.378 0.866 0.536
O6 O 0.432 0.246 0.047
O7 O 0.568 0.754 0.953
O8 O 0.622 0.134 0.464
O9 O 0.754 0.568 0.453
O10 O 0.796 0.015 0.817
O11 O 0.866 0.378 0.036
O12 O 0.985 0.204 0.683



# Ba4Pu3AuO12 | Alexandria | GGA-PBE | relaxed
# Formation energy without anion corrections in meV per atom: -2470
# VASP energy in eV per atom: -8.14
# Space group: Im-3m (229)
# Calculated volume in Å³/atom: 16.970
data_Ba4Pu3AuO12
_cell_length_a 7.611
_cell_length_b 7.611
_cell_length_c 7.611
_cell_angle_alpha 109.47
_cell_angle_beta 109.47
_cell_angle_gamma 109.47
_space_group_name_H-M_alt 'P 1'
_space_group_IT_number 1
_space_group_name_Hall 'P 1'
loop_
_atom_site_label
_atom_site_type_symbol
_atom_site_fract_x
_atom_site_fract_y
_atom_site_fract_z
Ba1 Ba 0.000 0.000 0.500
Ba2 Ba 0.000 0.500 0.000
Ba3 Ba 0.500 0.000 0.000
Ba4 Ba 0.500 0.500 0.500
Pu1 Pu 0.000 0.500 0.500
Pu2 Pu 0.500 0.000 0.500
Pu3 Pu 0.500 0.500 0.000
Au1 Au 0.000 0.000 0.000
O1 O 0.000 0.272 0.272
O2 O 0.000 0.728 0.728
O3 O 0.250 0.500 0.750
O4 O 0.250 0.750 0.500
O5 O 0.272 0.000 0.272
O6 O 0.272 0.272 0.000
O7 O 0.500 0.250 0.750
O8 O 0.500 0.750 0.250
O9 O 0.728 0.000 0.728
O10 O 0.728 0.728 0.000
O11 O 0.750 0.250 0.500
O12 O 0.750 0.500 0.250



# Ba2PuAuO6 | Alexandria | GGA-PBE | relaxed
# Formation energy without anion corrections in meV per atom: -2215
# VASP energy in eV per atom: -7.34
# Space group: C2/m (12)
# Calculated volume in Å³/atom: 17.135
data_Ba2PuAuO6
_cell_length_a 6.477
_cell_length_b 6.477
_cell_length_c 5.817
_cell_angle_alpha 115.90
_cell_angle_beta 115.90
_cell_angle_gamma 53.63
_space_group_name_H-M_alt 'P 1'
_space_group_IT_number 1
_space_group_name_Hall 'P 1'
loop_
_atom_site_label
_atom_site_type_symbol
_atom_site_fract_x
_atom_site_fract_y
_atom_site_fract_z
Ba1 Ba 0.247 0.247 0.223
Ba2 Ba 0.753 0.753 0.777
Pu1 Pu 0.500 0.500 0.000
Au1 Au 0.000 0.000 0.500
O1 O 0.184 0.702 0.204
O2 O 0.298 0.816 0.796
O3 O 0.310 0.310 0.730
O4 O 0.690 0.690 0.270
O5 O 0.702 0.184 0.204
O6 O 0.816 0.298 0.796



# BaPuAuO6 | Alexandria | GGA-PBE | relaxed
# Formation energy without anion corrections in meV per atom: -1729
# VASP energy in eV per atom: -7.20
# Space group: P-31c (163)
# Calculated volume in Å³/atom: 17.554
data_BaPuAuO6
_cell_length_a 5.555
_cell_length_b 5.555
_cell_length_c 11.824
_cell_angle_alpha 90.00
_cell_angle_beta 90.00
_cell_angle_gamma 120.00
_space_group_name_H-M_alt 'P 1'
_space_group_IT_number 1
_space_group_name_Hall 'P 1'
loop_
_atom_site_label
_atom_site_type_symbol
_atom_site_fract_x
_atom_site_fract_y
_atom_site_fract_z
Ba1 Ba 0.000 0.000 0.000
Ba2 Ba 0.000 0.000 0.500
Pu1 Pu 0.333 0.667 0.250
Pu2 Pu 0.667 0.333 0.750
Au1 Au 0.333 0.667 0.750
Au2 Au 0.667 0.333 0.250
O1 O 0.023 0.376 0.151
O2 O 0.023 0.647 0.349
O3 O 0.353 0.376 0.349
O4 O 0.353 0.977 0.151
O5 O 0.376 0.023 0.651
O6 O 0.376 0.353 0.849
O7 O 0.624 0.647 0.151
O8 O 0.624 0.977 0.349
O9 O 0.647 0.023 0.849
O10 O 0.647 0.624 0.651
O11 O 0.977 0.353 0.651
O12 O 0.977 0.624 0.849



# RbBaAuO2 | Alexandria | GGA-PBE | relaxed
# Formation energy without anion corrections in meV per atom: -1404
# VASP energy in eV per atom: -4.62
# Space group: Cmme (67)
# Calculated volume in Å³/atom: 32.608
data_RbBaAuO2
_cell_length_a 8.009
_cell_length_b 8.009
_cell_length_c 5.902
_cell_angle_alpha 90.00
_cell_angle_beta 90.00
_cell_angle_gamma 120.52
_space_group_name_H-M_alt 'P 1'
_space_group_IT_number 1
_space_group_name_Hall 'P 1'
loop_
_atom_site_label
_atom_site_type_symbol
_atom_site_fract_x
_atom_site_fract_y
_atom_site_fract_z
Rb1 Rb 0.250 0.750 0.947
Rb2 Rb 0.750 0.250 0.053
Ba1 Ba 0.250 0.250 0.500
Ba2 Ba 0.750 0.750 0.500
Au1 Au 0.000 0.000 0.000
Au2 Au 0.500 0.500 0.000
O1 O 0.084 0.916 0.716
O2 O 0.416 0.584 0.716
O3 O 0.584 0.416 0.284
O4 O 0.916 0.084 0.284



# Rb2BaAuO | Alexandria | GGA-PBE | relaxed
# Formation energy without anion corrections in meV per atom: -898
# VASP energy in eV per atom: -3.32
# Space group: P4/mmm (123)
# Calculated volume in Å³/atom: 34.046
data_Rb2BaAuO
_cell_length_a 5.696
_cell_length_b 5.696
_cell_length_c 5.246
_cell_angle_alpha 90.00
_cell_angle_beta 90.00
_cell_angle_gamma 90.00
_space_group_name_H-M_alt 'P 1'
_space_group_IT_number 1
_space_group_name_Hall 'P 1'
loop_
_atom_site_label
_atom_site_type_symbol
_atom_site_fract_x
_atom_site_fract_y
_atom_site_fract_z
Rb1 Rb 0.000 0.500 0.000
Rb2 Rb 0.500 0.000 0.000
Ba1 Ba 0.000 0.000 0.500
Au1 Au 0.500 0.500 0.500
O1 O 0.000 0.000 0.000



# BaReAu2O | Alexandria | GGA-PBE | relaxed
# Formation energy without anion corrections in meV per atom: 2112
# VASP energy in eV per atom: -3.07
# Space group: P4/mmm (123)
# Calculated volume in Å³/atom: 55.598
data_BaReAu2O
_cell_length_a 6.175
_cell_length_b 6.175
_cell_length_c 7.289
_cell_angle_alpha 90.00
_cell_angle_beta 90.00
_cell_angle_gamma 90.00
_space_group_name_H-M_alt 'P 1'
_space_group_IT_number 1
_space_group_name_Hall 'P 1'
loop_
_atom_site_label
_atom_site_type_symbol
_atom_site_fract_x
_atom_site_fract_y
_atom_site_fract_z
Ba1 Ba 0.000 0.000 0.000
Re1 Re 0.000 0.000 0.500
Au1 Au 0.000 0.500 0.000
Au2 Au 0.500 0.000 0.000
O1 O 0.500 0.500 0.500



# BaRhAuO2 | Alexandria | GGA-PBE | relaxed
# Formation energy without anion corrections in meV per atom: 502
# VASP energy in eV per atom: -3.99
# Space group: P4/mmm (123)
# Calculated volume in Å³/atom: 26.462
data_BaRhAuO2
_cell_length_a 4.399
_cell_length_b 4.399
_cell_length_c 6.838
_cell_angle_alpha 90.00
_cell_angle_beta 90.00
_cell_angle_gamma 90.00
_space_group_name_H-M_alt 'P 1'
_space_group_IT_number 1
_space_group_name_Hall 'P 1'
loop_
_atom_site_label
_atom_site_type_symbol
_atom_site_fract_x
_atom_site_fract_y
_atom_site_fract_z
Ba1 Ba 0.000 0.000 0.000
Rh1 Rh 0.500 0.500 0.500
Au1 Au 0.000 0.000 0.500
O1 O 0.000 0.500 0.000
O2 O 0.500 0.000 0.000